# 1
An optimized crystal structure of V3CuPt4. Source: Alexandria, functional PBE.

Properties
DOS(E_F) in states/eV/cell: 9.13
Total magnetization in μB per formula unit: 0.01

Cell: 2.715 4.635 9.316 Å, 90.00 90.00 90.00°
Element x y z (fractional)
V: 0.500 0.000 0.757
V: 0.500 0.000 0.243
V: 0.500 0.500 0.500
Cu: 0.500 0.500 0.000
Pt: 0.000 0.500 0.741
Pt: 0.000 0.000 0.500
Pt: 0.000 0.500 0.259
Pt: 0.000 0.000 0.000



# 2
An optimized crystal structure of CuPt14W. Source: Alexandria, functional PBE.

Properties
DOS(E_F) in states/eV/cell: 22.54
Total magnetization in μB per formula unit: 0.00

Cell: 5.626 5.626 7.825 Å, 90.00 90.00 90.00°
Element x y z (fractional)
Pt: 0.375 0.875 0.000
Pt: 0.875 0.875 0.000
Pt: 0.124 0.124 0.258
Pt: 0.124 0.124 0.742
Pt: 0.375 0.375 0.000
Pt: 0.626 0.124 0.258
Pt: 0.375 0.875 0.500
Pt: 0.626 0.626 0.742
Pt: 0.124 0.626 0.258
Pt: 0.626 0.124 0.742
Pt: 0.875 0.375 0.000
Pt: 0.124 0.626 0.742
Pt: 0.875 0.375 0.500
Pt: 0.626 0.626 0.258
W: 0.875 0.875 0.500
Cu: 0.375 0.375 0.500



Uncorrected energy
In order: -7.274; -6.486
Unit: eV/atom
Calculated formation energy
In order: -0.322; -0.135
Unit: eV/atom